No. 1
{
  "formula": "CsK12Cd6",
  "functional": "PBE",
  "state": "relaxed",
  "lattice": [[10.470, 0.000, -3.702], [-5.235, 9.068, -3.702], [0.000, 0.000, 11.106]],
  "species": ["K", "K", "K", "K", "K", "K", "K", "K", "K", "K", "K", "K", "Cd", "Cd", "Cd", "Cd", "Cd", "Cd", "Cs"],
  "fractional_positions": [[0.808, 0.694, 0.501], [0.306, 0.499, 0.192], [0.499, 0.192, 0.306], [0.501, 0.808, 0.694], [0.192, 0.306, 0.499], [0.694, 0.501, 0.808], [0.306, 0.114, 0.808], [0.192, 0.694, 0.886], [0.694, 0.886, 0.192], [0.886, 0.192, 0.694], [0.808, 0.306, 0.114], [0.114, 0.808, 0.306], [0.887, 0.387, 0.500], [0.500, 0.113, 0.613], [0.387, 0.500, 0.887], [0.500, 0.887, 0.387], [0.113, 0.613, 0.500], [0.613, 0.500, 0.113], [0.000, 0.000, 0.000]],
  "crystal_system": "cubic",
  "dos_at_fermi_per_ev_cell": 12.5
}

No. 2
{
  "formula": "Cs6K8Cd",
  "functional": "PBE",
  "state": "relaxed",
  "lattice": [[-10.937, 0.531, -2.808], [-4.373, -10.376, 1.001], [-6.074, -0.328, 9.528]],
  "species": ["Cs", "Cs", "Cs", "Cs", "Cs", "Cs", "K", "K", "K", "K", "K", "K", "K", "K", "Cd"],
  "fractional_positions": [[0.439, 0.623, 0.170], [0.623, 0.170, 0.439], [0.170, 0.439, 0.623], [0.561, 0.377, 0.830], [0.830, 0.561, 0.377], [0.377, 0.830, 0.561], [0.764, 0.764, 0.764], [0.905, 0.326, 0.035], [0.236, 0.236, 0.236], [0.095, 0.674, 0.965], [0.965, 0.095, 0.674], [0.035, 0.905, 0.326], [0.326, 0.035, 0.905], [0.674, 0.965, 0.095], [0.000, 0.000, 0.000]],
  "crystal_system": "trigonal",
  "dos_at_fermi_per_ev_cell": 16.1
}

No. 3
{
  "formula": "Cs2KCd9",
  "functional": "PBE",
  "state": "relaxed",
  "lattice": [[-5.623, -3.255, -0.330], [0.015, -6.423, -1.031], [-1.509, -4.914, 10.065]],
  "species": ["Cd", "Cd", "Cd", "Cd", "Cd", "Cd", "Cd", "Cd", "Cd", "K", "Cs", "Cs"],
  "fractional_positions": [[0.420, 0.929, 0.231], [0.580, 0.580, 0.769], [0.335, 0.335, 0.995], [0.580, 0.071, 0.769], [0.071, 0.580, 0.769], [0.500, 0.500, 0.500], [0.420, 0.420, 0.231], [0.929, 0.420, 0.231], [0.665, 0.665, 0.005], [0.000, 0.000, 0.000], [0.856, 0.856, 0.431], [0.144, 0.144, 0.569]],
  "crystal_system": "trigonal",
  "dos_at_fermi_per_ev_cell": 8.6
}

No. 4
{
  "formula": "CsKCd",
  "functional": "PBE",
  "state": "relaxed",
  "lattice": [[-0.756, -2.366, -4.617], [-3.911, -4.105, 2.744], [-2.248, 5.378, -2.388]],
  "species": ["Cd", "Cs", "K"],
  "fractional_positions": [[0.114, 0.000, 0.000], [0.682, 0.667, 0.333], [0.205, 0.333, 0.667]],
  "crystal_system": "trigonal",
  "polymorph_energy_kj_per_mol_atoms": 8.45,
  "dos_at_fermi_per_ev_cell": 2.1
}

Listing formation energy from the elements for the structures above in their given order: -0.002 0.015 -0.027 0.046 eV/atom.
Listing calculated total energy for the structures above in their given order: -19.55 -14.59 -11.37 -2.73 eV for the cell shown.